No. 1
Material: Ce3PuZn8
Method: DFT, PBE-GGA
State: optimized geometry

Unit cell a=5.4913 b=5.4913 c=26.7993 alpha=90.00 beta=90.00 gamma=120.00
Space group R3m (No. 160, hexagonal axes)
One atom of each set of equivalent atoms:
Ce  0.0000  0.0000  0.0000 (multiplicity 3)
Ce  0.0000  0.0000  0.1267 (multiplicity 3)
Ce  0.0000  0.0000  0.5077 (multiplicity 3)
Pu  0.0000  0.0000  0.6288 (multiplicity 3)
Zn  0.0000  0.0000  0.3153 (multiplicity 3)
Zn  0.0000  0.0000  0.8159 (multiplicity 3)
Zn  0.0013  0.5006  0.0660 (multiplicity 9)
Zn  0.1682  0.3363  0.8989 (multiplicity 9)

- Total energy: -136.06 eV per cell

---

No. 2
Material: CePu2Zn
Method: DFT, PBE-GGA
State: optimized geometry

Unit cell a=7.1764 b=7.1764 c=7.1764 alpha=90.00 beta=90.00 gamma=90.00
Space group Fm-3m (No. 225)
One atom of each set of equivalent atoms:
Ce  0.0000  0.0000  0.0000 (multiplicity 4)
Pu  0.2500  0.2500  0.2500 (multiplicity 8)
Zn  0.0000  0.0000  0.5000 (multiplicity 4)

- Excess energy over the best structure of this formula in the dataset: 0.000 eV/atom
- Total energy: -143.23 eV per cell

---

No. 3
Material: CePu2Zn
Method: DFT, PBE-GGA
State: optimized geometry

Unit cell a=2.5812 b=2.5812 c=10.8775 alpha=90.00 beta=90.00 gamma=90.00
Space group P4/mmm (No. 123)
One atom of each set of equivalent atoms:
Ce  0.0000  0.0000  0.0000 (multiplicity 1)
Pu  0.5000  0.5000  0.2718 (multiplicity 2)
Zn  0.0000  0.0000  0.5000 (multiplicity 1)

- Excess energy over the best structure of this formula in the dataset: 0.441 eV/atom
- Total energy: -34.04 eV per cell

---

No. 4
Material: CePuZn3
Method: DFT, PBE-GGA
State: optimized geometry

Unit cell a=3.1419 b=28.2136 c=4.6867 alpha=90.00 beta=90.00 gamma=90.00
Space group Cmcm (No. 63)
One atom of each set of equivalent atoms:
Ce  0.0000  0.0721  0.2500 (multiplicity 4)
Pu  0.0000  0.2153  0.7500 (multiplicity 4)
Zn  0.0000  0.3298  0.7500 (multiplicity 4)
Zn  0.0000  0.3794  0.2500 (multiplicity 4)
Zn  0.0000  0.4759  0.2500 (multiplicity 4)

- Total energy: -99.97 eV per cell

---

No. 5
Material: CePu2Zn
Method: DFT, PBE-GGA
State: optimized geometry

Unit cell a=4.5254 b=4.5254 c=4.7333 alpha=90.00 beta=90.00 gamma=90.00
Space group P4/mmm (No. 123)
One atom of each set of equivalent atoms:
Ce  0.0000  0.0000  0.0000 (multiplicity 1)
Pu  0.0000  0.5000  0.5000 (multiplicity 2)
Zn  0.5000  0.5000  0.0000 (multiplicity 1)

- Excess energy over the best structure of this formula in the dataset: 0.005 eV/atom
- Total energy: -35.79 eV per cell

---

No. 6
Material: Ce5PuZn
Method: DFT, PBE-GGA
State: optimized geometry

Unit cell a=9.6117 b=7.4477 c=10.7713 alpha=90.00 beta=110.33 gamma=90.00
Space group C2/c (No. 15)
One atom of each set of equivalent atoms:
Ce  0.0000  0.0111  0.2500 (multiplicity 4)
Ce  0.1185  0.2962  0.5529 (multiplicity 8)
Ce  0.2391  0.1478  0.1090 (multiplicity 8)
Pu  0.0000  0.0000  0.0000 (multiplicity 4)
Zn  0.0000  0.4128  0.2500 (multiplicity 4)

- Total energy: -181.45 eV per cell

---

No. 7
Material: Ce4PuZn2
Method: DFT, PBE-GGA
State: optimized geometry

Unit cell a=8.7432 b=6.3470 c=12.7296 alpha=90.00 beta=90.00 gamma=90.00
Space group Pnma (No. 62)
One atom of each set of equivalent atoms:
Ce  0.1302  0.2500  0.0806 (multiplicity 4)
Ce  0.1495  0.2500  0.6035 (multiplicity 4)
Ce  0.2080  0.0024  0.3572 (multiplicity 8)
Pu  0.1059  0.7500  0.4924 (multiplicity 4)
Zn  0.0197  0.7500  0.1716 (multiplicity 4)
Zn  0.0757  0.7500  0.7187 (multiplicity 4)

- Excess energy over the best structure of this formula in the dataset: 0.000 eV/atom
- Total energy: -163.95 eV per cell

---

No. 8
Material: Ce3PuZn8
Method: DFT, PBE-GGA
State: optimized geometry

Unit cell a=5.6283 b=5.6283 c=8.4599 alpha=90.00 beta=90.00 gamma=120.00
Space group P3m1 (No. 156)
One atom of each set of equivalent atoms:
Ce  0.0000  0.0000  0.0000 (multiplicity 1)
Ce  0.0000  0.0000  0.3558 (multiplicity 1)
Ce  0.3333  0.6667  0.8341 (multiplicity 1)
Pu  0.3333  0.6667  0.4939 (multiplicity 1)
Zn  0.0048  0.5024  0.1718 (multiplicity 3)
Zn  0.3330  0.1665  0.6719 (multiplicity 3)
Zn  0.6667  0.3333  0.4212 (multiplicity 1)
Zn  0.6667  0.3333  0.9231 (multiplicity 1)

- Total energy: -45.35 eV per cell

---

No. 9
Material: Ce4PuZn2
Method: DFT, PBE-GGA
State: optimized geometry

Unit cell a=8.0624 b=12.2227 c=3.6916 alpha=90.00 beta=90.00 gamma=90.00
Space group Pbam (No. 55)
One atom of each set of equivalent atoms:
Ce  0.1247  0.1819  0.0000 (multiplicity 4)
Ce  0.2022  0.9413  0.5000 (multiplicity 4)
Pu  0.0000  0.0000  0.0000 (multiplicity 2)
Zn  0.0630  0.6534  0.5000 (multiplicity 4)

- Excess energy over the best structure of this formula in the dataset: 0.075 eV/atom
- Total energy: -80.93 eV per cell

---

No. 10
Material: Ce3PuZn2
Method: DFT, PBE-GGA
State: optimized geometry

Unit cell a=5.1348 b=6.6702 c=8.4447 alpha=90.00 beta=101.34 gamma=90.00
Space group P2_1/m (No. 11)
One atom of each set of equivalent atoms:
Ce  0.0005  0.2500  0.0391 (multiplicity 2)
Ce  0.3967  0.5185  0.6938 (multiplicity 4)
Pu  0.4652  0.2500  0.9235 (multiplicity 2)
Zn  0.1161  0.7500  0.3322 (multiplicity 2)
Zn  0.1318  0.2500  0.4147 (multiplicity 2)

- Total energy: -70.59 eV per cell

---

No. 11
Material: CePuZn4
Method: DFT, PBE-GGA
State: optimized geometry

Unit cell a=7.7346 b=7.7346 c=7.7346 alpha=90.00 beta=90.00 gamma=90.00
Space group F-43m (No. 216)
One atom of each set of equivalent atoms:
Ce  0.0000  0.0000  0.0000 (multiplicity 4)
Pu  0.2500  0.2500  0.7500 (multiplicity 4)
Zn  0.1248  0.1248  0.3752 (multiplicity 16)

- Total energy: -106.77 eV per cell

---

No. 12
Material: CePuZrZn
Method: DFT, PBE-GGA
State: optimized geometry

Unit cell a=7.0076 b=7.0076 c=7.0076 alpha=90.00 beta=90.00 gamma=90.00
Space group F-43m (No. 216)
One atom of each set of equivalent atoms:
Ce  0.0000  0.0000  0.0000 (multiplicity 4)
Pu  0.2500  0.2500  0.7500 (multiplicity 4)
Zr  0.2500  0.2500  0.2500 (multiplicity 4)
Zn  0.0000  0.0000  0.5000 (multiplicity 4)

- Total energy: -119.42 eV per cell

---

No. 13
Material: CePu2Zr
Method: DFT, PBE-GGA
State: optimized geometry

Unit cell a=5.4917 b=5.4917 c=3.3407 alpha=90.00 beta=90.00 gamma=90.00
Space group P4/mmm (No. 123)
One atom of each set of equivalent atoms:
Ce  0.0000  0.0000  0.0000 (multiplicity 1)
Pu  0.0000  0.5000  0.5000 (multiplicity 2)
Zr  0.5000  0.5000  0.0000 (multiplicity 1)

- Excess energy over the best structure of this formula in the dataset: 0.098 eV/atom
- Total energy: -42.24 eV per cell

---

No. 14
Material: CePu2Zr
Method: DFT, PBE-GGA
State: optimized geometry

Unit cell a=3.2346 b=3.2346 c=9.2437 alpha=90.00 beta=90.00 gamma=90.00
Space group P4/mmm (No. 123)
One atom of each set of equivalent atoms:
Ce  0.0000  0.0000  0.0000 (multiplicity 1)
Pu  0.5000  0.5000  0.2469 (multiplicity 2)
Zr  0.0000  0.0000  0.5000 (multiplicity 1)

- Excess energy over the best structure of this formula in the dataset: 0.000 eV/atom
- Total energy: -42.63 eV per cell

---

No. 15
Material: CePu2Zr
Method: DFT, PBE-GGA
State: optimized geometry

Unit cell a=3.2932 b=3.2932 c=31.4805 alpha=90.00 beta=90.00 gamma=120.00
Space group R-3m (No. 166, hexagonal axes)
One atom of each set of equivalent atoms:
Ce  0.0000  0.0000  0.0000 (multiplicity 3)
Pu  0.0000  0.0000  0.2500 (multiplicity 6)
Zr  0.0000  0.0000  0.5000 (multiplicity 3)

- Excess energy over the best structure of this formula in the dataset: 0.029 eV/atom
- Total energy: -127.53 eV per cell

---

No. 16
Material: CePu2Zr
Method: DFT, PBE-GGA
State: optimized geometry

Unit cell a=7.4346 b=7.4346 c=7.4346 alpha=90.00 beta=90.00 gamma=90.00
Space group Fm-3m (No. 225)
One atom of each set of equivalent atoms:
Ce  0.0000  0.0000  0.0000 (multiplicity 4)
Pu  0.2500  0.2500  0.2500 (multiplicity 8)
Zr  0.0000  0.0000  0.5000 (multiplicity 4)

- Excess energy over the best structure of this formula in the dataset: 0.086 eV/atom
- Total energy: -169.13 eV per cell

---

No. 17
Material: Ce14PuZr
Method: DFT, PBE-GGA
State: optimized geometry

Unit cell a=10.6046 b=7.8558 c=10.1491 alpha=90.00 beta=90.00 gamma=90.00
Space group Amm2 (No. 38)
One atom of each set of equivalent atoms:
Ce  0.0000  0.0000  0.0000 (multiplicity 2)
Ce  0.0000  0.0000  0.3841 (multiplicity 2)
Ce  0.0000  0.2368  0.7044 (multiplicity 4)
Ce  0.2376  0.0000  0.7912 (multiplicity 4)
Ce  0.2557  0.2335  0.4720 (multiplicity 8)
Ce  0.2597  0.0000  0.1836 (multiplicity 4)
Ce  0.5000  0.2289  0.7089 (multiplicity 4)
Pu  0.5000  0.0000  0.3884 (multiplicity 2)
Zr  0.5000  0.0000  0.9673 (multiplicity 2)

- Total energy: -209.52 eV per cell

---

No. 18
Material: Rb3Ce
Method: DFT, PBE-GGA
State: optimized geometry

Unit cell a=6.5563 b=6.5563 c=6.5563 alpha=90.00 beta=90.00 gamma=90.00
Space group Pm-3m (No. 221)
One atom of each set of equivalent atoms:
Rb  0.0000  0.0000  0.5000 (multiplicity 3)
Ce  0.5000  0.5000  0.5000 (multiplicity 1)

- Total energy: -6.10 eV per cell

---

No. 19
Material: RbCe3
Method: DFT, PBE-GGA
State: optimized geometry

Unit cell a=5.1550 b=5.1550 c=10.3340 alpha=90.00 beta=90.00 gamma=90.00
Space group I4/mmm (No. 139)
One atom of each set of equivalent atoms:
Rb  0.0000  0.0000  0.0000 (multiplicity 2)
Ce  0.0000  0.0000  0.5000 (multiplicity 2)
Ce  0.0000  0.5000  0.2500 (multiplicity 4)

- Total energy: -31.12 eV per cell

---

No. 20
Material: RbCe4
Method: DFT, PBE-GGA
State: optimized geometry

Unit cell a=5.6070 b=5.6070 c=5.6070 alpha=90.00 beta=90.00 gamma=90.00
Space group Pm-3m (No. 221)
One atom of each set of equivalent atoms:
Rb  0.0000  0.0000  0.0000 (multiplicity 1)
Ce  0.0000  0.0000  0.5000 (multiplicity 3)
Ce  0.5000  0.5000  0.5000 (multiplicity 1)

- Total energy: -18.53 eV per cell

---

Ordered DFT formation energy results: -252; 16; 457; -181; 21; -13; -53; -252; 21; -103; -222; 58; 228; 130; 159; 216; 75; 683; 803; 1235; unit meV per atom.